Version a
Here is an optimized crystal structure of TmTh2Al from Alexandria. Energies are from GGA-PBE.

Total magnetic moment (μB per formula unit): 0.0
Fermi-level density of states (states/eV per atom): 1.316
Space group: R-3m, No. 166

Cell lengths 3.357, 3.357, 11.985 Å; angles 81.95, 81.95, 60.00 degrees
Fractional positions:
Tm 0.000 0.000 0.000
Al 0.500 0.500 0.500
Th 0.093 0.093 0.722
Th 0.907 0.907 0.278

Version b
Here is an optimized crystal structure of TmTh2Al from Alexandria. Energies are from GGA-PBE.

Total magnetic moment (μB per formula unit): 0.0
Fermi-level density of states (states/eV per atom): 1.483
Space group: P4/mmm, No. 123

Cell lengths 3.455, 3.455, 9.610 Å; angles 90.00, 90.00, 90.00 degrees
Fractional positions:
Tm 0.500 0.500 0.500
Al 0.500 0.500 0.000
Th 0.000 0.000 0.778
Th 0.000 0.000 0.222

Version c
Here is an optimized crystal structure of TmTh2Al from Alexandria. Energies are from GGA-PBE.

Total magnetic moment (μB per formula unit): 0.0
Fermi-level density of states (states/eV per atom): 1.068
Space group: P4/mmm, No. 123

Cell lengths 4.872, 4.776, 4.776 Å; angles 90.00, 90.00, 90.00 degrees
Fractional positions:
Tm 0.500 0.000 0.000
Al 0.500 0.500 0.500
Th 0.000 0.000 0.500
Th 0.000 0.500 0.000

Version d
Here is an optimized crystal structure of TmTh2Al from Alexandria. Energies are from GGA-PBE.

Total magnetic moment (μB per formula unit): 0.0
Fermi-level density of states (states/eV per atom): 1.562
Space group: Fm-3m, No. 225

Cell lengths 5.422, 5.422, 5.422 Å; angles 60.00, 60.00, 60.00 degrees
Fractional positions:
Tm 0.000 0.000 0.000
Al 0.500 0.500 0.500
Th 0.250 0.250 0.250
Th 0.750 0.750 0.750

Quick one: most stable of them? version c

Version a
Here is an optimized crystal structure of TmThAl from Alexandria. Energies are from GGA-PBE.

Total magnetic moment (μB per formula unit): 0.0
Fermi-level density of states (states/eV per atom): 0.941
Space group: P-3m1, No. 164

Cell lengths 5.022, 5.022, 7.270 Å; angles 90.00, 90.00, 60.00 degrees
Fractional positions:
Tm 0.667 0.667 0.102
Tm 0.333 0.333 0.898
Th 0.667 0.667 0.612
Th 0.333 0.333 0.388
Al 0.000 0.000 0.797
Al 0.000 0.000 0.203

Version b
Here is an optimized crystal structure of TmThAl from Alexandria. Energies are from GGA-PBE.

Total magnetic moment (μB per formula unit): 0.0
Fermi-level density of states (states/eV per atom): 0.736
Space group: P4/nmm, No. 129

Cell lengths 4.748, 4.748, 7.555 Å; angles 90.00, 90.00, 90.00 degrees
Fractional positions:
Tm 0.000 0.500 0.755
Tm 0.500 0.000 0.245
Al 0.500 0.500 0.000
Al 0.000 0.000 0.000
Th 0.500 0.000 0.714
Th 0.000 0.500 0.286

Quick one: most stable of them? version a

Version a
Here is an optimized crystal structure of TmThAl from Alexandria. Energies are from GGA-PBE.

Total magnetic moment (μB per formula unit): 0.0
Fermi-level density of states (states/eV per atom): 1.079
Space group: P3m1, No. 156

Cell lengths 3.600, 5.100, 5.100 Å; angles 120.00, 90.00, 90.00 degrees
Fractional positions:
Tm 0.242 0.667 0.333
Al 0.064 0.000 0.000
Th 0.694 0.333 0.667

Version b
Here is an optimized crystal structure of TmThAl from Alexandria. Energies are from GGA-PBE.

Total magnetic moment (μB per formula unit): 0.0
Fermi-level density of states (states/eV per atom): 1.015
Space group: I4mm, No. 107

Cell lengths 3.473, 3.473, 7.129 Å; angles 104.10, 104.10, 90.00 degrees
Fractional positions:
Tm 0.314 0.314 0.628
Al 0.671 0.671 0.343
Th 0.015 0.015 0.030

Quick one: most stable of them? version b

Version a
Here is an optimized crystal structure of Tm2ThAl from Alexandria. Energies are from GGA-PBE.

Total magnetic moment (μB per formula unit): 0.0
Fermi-level density of states (states/eV per atom): 1.532
Space group: R3m, No. 160

Cell lengths 3.500, 3.500, 10.718 Å; angles 80.60, 80.60, 60.00 degrees
Fractional positions:
Tm 0.073 0.073 0.782
Tm 0.261 0.261 0.218
Th 0.500 0.500 0.499
Al 0.666 0.666 0.001

Version b
Here is an optimized crystal structure of Tm2ThAl from Alexandria. Energies are from GGA-PBE.

Total magnetic moment (μB per formula unit): 0.0
Fermi-level density of states (states/eV per atom): 1.104
Space group: R-3m, No. 166

Cell lengths 3.392, 3.392, 11.550 Å; angles 81.56, 81.56, 60.00 degrees
Fractional positions:
Tm 0.100 0.100 0.701
Tm 0.900 0.900 0.299
Al 0.500 0.500 0.500
Th 0.000 0.000 0.000

Quick one: most stable of them? version a

Version a
Here is an optimized crystal structure of Tm2ThAl from Alexandria. Energies are from GGA-PBE.

Total magnetic moment (μB per formula unit): 0.0
Fermi-level density of states (states/eV per atom): 1.222
Space group: P4/mmm, No. 123

Cell lengths 4.752, 4.761, 4.761 Å; angles 90.00, 90.00, 90.00 degrees
Fractional positions:
Tm 0.000 0.000 0.500
Tm 0.000 0.500 0.000
Al 0.500 0.000 0.000
Th 0.500 0.500 0.500

Version b
Here is an optimized crystal structure of Tm2ThAl from Alexandria. Energies are from GGA-PBE.

Total magnetic moment (μB per formula unit): 1.1
Fermi-level density of states (states/eV per atom): 1.685
Space group: Fm-3m, No. 225

Cell lengths 5.333, 5.333, 5.333 Å; angles 60.00, 60.00, 60.00 degrees
Fractional positions:
Tm 0.250 0.250 0.250
Tm 0.750 0.750 0.750
Al 0.500 0.500 0.500
Th 0.000 0.000 0.000

Quick one: most stable of them? version a

Version a
Here is an optimized crystal structure of Tm2ThAl from Alexandria. Energies are from GGA-PBE.

Total magnetic moment (μB per formula unit): 0.0
Fermi-level density of states (states/eV per atom): 1.148
Space group: C2/m, No. 12

Cell lengths 3.516, 3.503, 10.579 Å; angles 99.64, 90.00, 120.13 degrees
Fractional positions:
Tm 0.241 0.483 0.225
Tm 0.759 0.517 0.775
Th 0.000 0.000 0.500
Al 0.500 0.000 0.000

Version b
Here is an optimized crystal structure of Tm2ThAl from Alexandria. Energies are from GGA-PBE.

Total magnetic moment (μB per formula unit): 0.0
Fermi-level density of states (states/eV per atom): 0.847
Space group: P4/mmm, No. 123

Cell lengths 3.483, 3.483, 8.848 Å; angles 90.00, 90.00, 90.00 degrees
Fractional positions:
Tm 0.000 0.000 0.783
Tm 0.000 0.000 0.217
Al 0.500 0.500 0.000
Th 0.500 0.500 0.500

Quick one: most stable of them? version b